# Ta2InCu

An optimized crystal structure of Ta2InCu (PBE, Alexandria via LeMat-Bulk).

Cell lengths 3.6709, 4.2090, 9.0396 Å; angles 90.00, 90.00, 90.00 degrees
Last column: nearest neighbours and their distance in Å.
Space group Immm (No. 71)
Symmetry-distinct sites (fractional):
Ta 0.0000 0.0000 0.2387  4 Ta 2.80, 2 Cu 2.83, 4 In 2.99-3.01
In 0.0000 0.5000 0.0000  4 Cu 2.79, 8 Ta 2.99-3.01
Cu 0.0000 0.5000 0.5000  4 In 2.79, 4 Ta 2.83

Summary:
Energy of formation in eV per atom: 0.1413
E_tot in eV per cell: -59.95